[1]
DFT (GGA-PBE) results for Ti3HgN after structural relaxation.

The structure belongs to space group Fd-3m (No. 227, origin choice 2); the cell edges are 11.116, 11.116 and 11.116 Å and the angles 90.00°, 90.00° and 90.00°. The inequivalent atoms are Ti at (0.056, 0.375, 0.375), Hg at (0.000, 0.000, 0.500) and N at (0.000, 0.000, 0.000).

As for the formation energy without anion corrections: -2.9 eV per formula unit.

[2]
DFT (GGA-PBE) results for Ti3HgN after structural relaxation.

The structure belongs to space group Cm (No. 8); the cell edges are 10.437, 5.878 and 5.306 Å and the angles 90.00°, 111.50° and 90.00°. The inequivalent atoms are Ti at (0.000, 0.000, 0.000), Ti at (0.000, 0.241, 0.513), Ti at (0.246, 0.267, 0.978), Ti at (0.258, 0.500, 0.484), Hg at (0.249, 0.000, 0.474), Hg at (0.491, 0.000, 0.037), N at (0.132, 0.500, 0.703) and N at (0.376, 0.500, 0.242).

As for the formation energy without anion corrections: -3.6 eV per formula unit.

[3]
DFT (GGA-PBE) results for Ti7HgN2 after structural relaxation.

The structure belongs to space group Cmmm (No. 65); the cell edges are 6.894, 11.007 and 4.032 Å and the angles 90.00°, 90.00° and 90.00°. The inequivalent atoms are Ti at (0.000, 0.000, 0.000), Ti at (0.000, 0.220, 0.500), Ti at (0.204, 0.364, 0.000), Hg at (0.000, 0.500, 0.500) and N at (0.000, 0.204, 0.000).

As for the formation energy without anion corrections: -4.8 eV per formula unit.

Q: Which DFT total energy values were calculated for the entries above? A: -7.05 -7.18 -7.70, in eV per atom.